[1]
{
  "formula": "Zr2AgHg",
  "functional": "PBE",
  "state": "relaxed",
  "magmom_total_mub_per_cell": 0.0,
  "spacegroup": "C2/m, No. 12",
  "final_energy_ev_per_atom": -5.019,
  "ef_kcal_per_mol_atoms": 0.99,
  "cell": [[5.452, 0.021, -0.038], [4.580, 2.958, -0.038], [0.874, 0.259, 5.321]],
  "species": ["Zr", "Ag", "Zr", "Hg"],
  "frac_coords": [[0.500, 0.500, 0.493], [0.750, 0.750, 0.750], [0.000, 0.000, 0.007], [0.250, 0.250, 0.250]]
}

---

[2]
{
  "formula": "Zr2AgHg",
  "functional": "PBE",
  "state": "relaxed",
  "magmom_total_mub_per_cell": 0.0,
  "spacegroup": "I-4m2, No. 119",
  "final_energy_ev_per_atom": -5.058,
  "ef_kcal_per_mol_atoms": 0.10,
  "cell": [[-2.798, 3.775, -2.876], [-3.925, 2.548, 2.908], [5.345, -1.057, 0.817]],
  "species": ["Zr", "Zr", "Hg", "Ag"],
  "frac_coords": [[0.000, 0.000, 0.000], [0.250, 0.750, 0.500], [0.750, 0.250, 0.500], [0.500, 0.500, 0.000]]
}

---

[3]
{
  "formula": "Zr2AgHg",
  "functional": "PBE",
  "state": "relaxed",
  "magmom_total_mub_per_cell": 0.0,
  "spacegroup": "Cm, No. 8",
  "final_energy_ev_per_atom": -5.093,
  "ef_kcal_per_mol_atoms": -0.70,
  "cell": [[5.365, 0.004, 0.020], [4.423, 3.037, 0.020], [1.157, 0.359, 5.222]],
  "species": ["Zr", "Zr", "Ag", "Hg"],
  "frac_coords": [[0.001, 0.001, 0.006], [0.751, 0.751, 0.740], [0.502, 0.502, 0.507], [0.246, 0.246, 0.247]]
}

---

[4]
{
  "formula": "ZrAgHg4",
  "functional": "PBE",
  "state": "relaxed",
  "magmom_total_mub_per_cell": 0.0,
  "spacegroup": "F-43m, No. 216",
  "final_energy_ev_per_atom": -1.760,
  "ef_kcal_per_mol_atoms": 7.86,
  "cell": [[-2.811, -4.396, 2.475], [-0.073, -0.509, 5.752], [-4.884, 0.975, 2.924]],
  "species": ["Zr", "Hg", "Ag", "Hg", "Hg", "Hg"],
  "frac_coords": [[0.750, 0.750, 0.750], [0.375, 0.375, 0.375], [0.000, 0.000, 0.000], [0.375, 0.375, 0.874], [0.874, 0.375, 0.375], [0.375, 0.874, 0.375]]
}